Below is a crystal of Tl2PtBr relaxed with PBEsol, with properties calculated at the meta-GGA SCAN level.

Distance to the lowest polymorph of the same formula = 244 meV/atom
Energy relative to the elements, uncorrected = 0.270 eV per atom

Lattice parameters (Å, degrees): 5.082 5.082 5.082 60.00 60.00 60.00
Fractional positions:
1 Tl 0.750 0.750 0.750
2 Tl 0.000 0.000 0.000
3 Pt 0.250 0.250 0.250
4 Br 0.500 0.500 0.500